Computed, not measured: Ba3Ga4Au4 after structural relaxation at the PBE level of DFT.

Cell: 4.614 4.682 13.965 Å, 99.53 99.41 90.21°
Sites, in units of the cell vectors:
Ba (0.000, 0.000, 0.000)
Ba (0.150, 0.651, 0.301)
Ba (0.850, 0.349, 0.699)
Ga (0.248, 0.250, 0.499)
Ga (0.400, 0.899, 0.799)
Ga (0.600, 0.101, 0.201)
Ga (0.752, 0.750, 0.501)
Au (0.303, 0.802, 0.604)
Au (0.445, 0.445, 0.891)
Au (0.555, 0.555, 0.109)
Au (0.697, 0.198, 0.396)

Properties
Space-group type: No. 2
DFT formation energy, eV/atom: -0.60